# Pm8RhAu2

A geometry-optimized Pm8RhAu2 structure (GGA-PBE, the Alexandria database).

The distance to the lowest polymorph of the same formula is 0 meV per atom. Its density of states at the Fermi level is 11.1 states/eV/f.u. Its energy of formation from the pure elements is -420.4 meV/atom.

The space group is C2/m (No. 12) and the conventional cell measures 17.881, 5.153 and 6.998 Å, with angles of 90.00, 100.16 and 90.00 degrees. The distinct sites, in fractional coordinates, are Pm at (0.027, 0.000, 0.280), Pm at (0.088, 0.500, 0.944), Pm at (0.158, 0.500, 0.469), Pm at (0.203, 0.000, 0.826), Rh at (0.000, 0.500, 0.500) and Au at (0.194, 0.000, 0.241).